Sm4Co2H | the Alexandria database | GGA-PBE | optimized geometry; raw total energy = -5.401 eV per atom; ΔE to the lowest computed polymorph = 0.000 eV/atom; symmetry = C2/m, No. 12; spin magnetization = 0.00 μB per formula unit
1.0
13.9488 0.0000 0.0000
0.0000 3.8095 0.0000
-1.0565 0.0000 5.7797
Sm Co H
8 4 2
direct
0.0816 0.0000 0.2769
0.1567 0.5000 0.8180
0.3433 0.0000 0.1820
0.4184 0.5000 0.7231
0.5816 0.5000 0.2769
0.6567 0.0000 0.8180
0.8433 0.5000 0.1820
0.9184 0.0000 0.7231
0.2355 0.5000 0.3778
0.2645 0.0000 0.6222
0.7355 0.0000 0.3778
0.7645 0.5000 0.6222
0.0000 0.5000 0.0000
0.5000 0.0000 0.0000